Here is a relaxed structure of ThMgTcRu from Alexandria. Energies are from GGA-PBE.

The space group is F-43m (No. 216) and the conventional cell measures 6.670, 6.670 and 6.670 Å, with angles of 90.00, 90.00 and 90.00 degrees. The distinct sites, in fractional coordinates, are Th at (0.000, 0.000, 0.000), Mg at (0.000, 0.000, 0.500), Tc at (0.250, 0.250, 0.250) and Ru at (0.250, 0.250, 0.750).

For the formation energy, the calculation gives -0.07 eV per atom.



Here is a relaxed structure of NaNiTe2 from Alexandria. Energies are from GGA-PBE.

The space group is R-3m (No. 166, hexagonal axes) and the conventional cell measures 3.8481, 3.8481 and 26.3523 Å, with angles of 90.00, 90.00 and 120.00 degrees. The distinct sites, in fractional coordinates, are Na at (0.0000, 0.0000, 0.0000), Ni at (0.0000, 0.0000, 0.5000) and Te at (0.0000, 0.0000, 0.1148).

The calculation puts the formation energy from raw total energies at -0.2406 eV per atom.



Here is a relaxed structure of CaSi2Mo from Alexandria. Energies are from GGA-PBE.

The space group is P4/mmm (No. 123) and the conventional cell measures 3.241, 3.241 and 6.781 Å, with angles of 90.00, 90.00 and 90.00 degrees. The distinct sites, in fractional coordinates, are Ca at (0.000, 0.000, 0.000), Si at (0.500, 0.500, 0.313) and Mo at (0.000, 0.000, 0.500).

The calculation puts the formation energy from raw total energies at -0.2840 eV per atom. The value obtained for the energy above the most stable polymorph in this dataset is 0.000 eV/atom.



Here is a relaxed structure of NaPbF3 from Alexandria. Energies are from GGA-PBE.

The space group is Pm-3m (No. 221) and the conventional cell measures 4.181, 4.181 and 4.181 Å, with angles of 90.00, 90.00 and 90.00 degrees. The distinct sites, in fractional coordinates, are Na at (0.000, 0.000, 0.000), Pb at (0.500, 0.500, 0.500) and F at (0.000, 0.000, 0.500).

The calculation puts the formation energy from raw total energies at -2.2807 eV per atom. The value obtained for the energy above the most stable polymorph in this dataset is 0.239 eV/atom.



Here is a relaxed structure of Ba2NiPb from Alexandria. Energies are from GGA-PBE.

The space group is Pm (No. 6) and the conventional cell measures 5.258, 4.782 and 6.387 Å, with angles of 90.00, 114.31 and 90.00 degrees. The distinct sites, in fractional coordinates, are Ba at (0.000, 0.000, 0.000), Ba at (0.293, 0.500, 0.587), Ni at (0.697, 0.000, 0.396) and Pb at (0.601, 0.500, 0.202).

For the formation energy, the calculation gives -0.19 eV per atom.



Here is a relaxed structure of MgSe3N from Alexandria. Energies are from GGA-PBE.

The space group is Pm-3m (No. 221) and the conventional cell measures 5.097, 5.097 and 5.097 Å, with angles of 90.00, 90.00 and 90.00 degrees. The distinct sites, in fractional coordinates, are Mg at (0.000, 0.000, 0.000), Se at (0.000, 0.000, 0.500) and N at (0.500, 0.500, 0.500).

The calculation puts the formation energy from raw total energies at 1.2235 eV per atom. The value obtained for the energy above the most stable polymorph in this dataset is 0.723 eV/atom.



Number 1: uncorrected energy -7.23 eV/atom, calculated volume 297 Å³/cell, density 10.2 g/cm³. Number 2: uncorrected energy -3.59 eV/atom, calculated volume 338 Å³/cell, density 5.0 g/cm³. Number 3: uncorrected energy -6.20 eV/atom, calculated volume 71 Å³/cell, density 4.5 g/cm³. Number 4: uncorrected energy -4.41 eV/atom, calculated volume 73 Å³/cell, density 6.5 g/cm³. Number 5: uncorrected energy -3.52 eV/atom, calculated volume 146 Å³/cell, density 6.1 g/cm³. Number 6: uncorrected energy -2.85 eV/atom, calculated volume 132 Å³/cell, density 3.5 g/cm³.